[1]
Compound: Er2ScTiP4
Source: the Alexandria database
Functional: GGA-PBE
Structure: relaxed

Structure (POSCAR):
```
Er2ScTiP4
1.0
6.571 0.000 0.000
0.000 3.795 0.000
-2.175 0.000 6.203
Er Sc Ti P
2 1 1 4
Direct
0.000 0.000 0.000
0.500 0.500 0.000
0.000 0.500 0.500
0.500 0.000 0.500
0.251 0.000 0.731
0.264 0.500 0.273
0.736 0.500 0.727
0.749 0.000 0.269
```

Properties
Energy of formation from the pure elements   -1.422 eV/atom
ρ   5.9 g/cm3
Final energy   -7.046 eV per atom
Space group   No. 10

---

[2]
Compound: ErTmSc2P4
Source: the Alexandria database
Functional: GGA-PBE
Structure: relaxed

Structure (POSCAR):
```
ErTmSc2P4
1.0
6.675 0.000 0.000
0.000 3.863 0.000
-2.234 0.000 6.303
Er Tm Sc P
1 1 2 4
Direct
0.000 0.000 0.000
0.000 0.500 0.500
0.500 0.000 0.500
0.500 0.500 0.000
0.262 0.000 0.753
0.262 0.500 0.255
0.738 0.000 0.247
0.738 0.500 0.745
```

Properties
Energy of formation from the pure elements   -1.540 eV/atom
ρ   5.6 g/cm3
Final energy   -6.957 eV per atom
Space group   No. 10

---

[3]
Compound: Er2TmScP4
Source: the Alexandria database
Functional: GGA-PBE
Structure: relaxed

Structure (POSCAR):
```
Er2TmScP4
1.0
6.775 0.000 0.000
0.000 3.916 0.000
-2.260 0.000 6.388
Er Tm Sc P
2 1 1 4
Direct
0.000 0.000 0.000
0.000 0.500 0.500
0.500 0.000 0.500
0.500 0.500 0.000
0.255 0.500 0.247
0.259 0.000 0.758
0.741 0.000 0.242
0.745 0.500 0.753
```

Properties
Energy of formation from the pure elements   -1.568 eV/atom
ρ   6.6 g/cm3
Final energy   -6.764 eV per atom
Space group   No. 10

---

[4]
Compound: Er2ScUP4
Source: the Alexandria database
Functional: GGA-PBE
Structure: relaxed

Structure (POSCAR):
```
Er2ScUP4
1.0
6.743 0.000 0.000
0.000 3.900 0.000
-2.230 0.000 6.395
Er Sc U P
2 1 1 4
Direct
0.000 0.000 0.000
0.500 0.500 0.000
0.000 0.500 0.500
0.500 0.000 0.500
0.245 0.000 0.739
0.248 0.500 0.257
0.752 0.500 0.743
0.755 0.000 0.261
```

Properties
Energy of formation from the pure elements   -1.413 eV/atom
ρ   7.3 g/cm3
Final energy   -7.461 eV per atom
Space group   No. 10

---

Repeat the second record exactly.
Compound: ErTmSc2P4
Source: the Alexandria database
Functional: GGA-PBE
Structure: relaxed

Structure (POSCAR):
```
ErTmSc2P4
1.0
6.675 0.000 0.000
0.000 3.863 0.000
-2.234 0.000 6.303
Er Tm Sc P
1 1 2 4
Direct
0.000 0.000 0.000
0.000 0.500 0.500
0.500 0.000 0.500
0.500 0.500 0.000
0.262 0.000 0.753
0.262 0.500 0.255
0.738 0.000 0.247
0.738 0.500 0.745
```

Properties
Energy of formation from the pure elements   -1.540 eV/atom
ρ   5.6 g/cm3
Final energy   -6.957 eV per atom
Space group   No. 10